No. 1
Computed, not measured: crystalline AcNbFe4 at its relaxed geometry at the PBE level of DFT.

Lattice parameters (Å, degrees): 5.1245 5.1245 5.1245 60.00 60.00 60.00
Closest atoms and distances in Å follow each position.
Fractional coordinates of all 6 atoms:
Ac1 0.0000 0.0000 0.0000  12 Fe 3.01, 4 Nb 3.14
Nb1 0.2500 0.2500 0.2500  12 Fe 3.00, 4 Ac 3.14
Fe1 0.1291 0.6236 0.6236  6 Fe 2.53-2.59
Fe2 0.6236 0.1291 0.6236  6 Fe 2.53-2.59
Fe3 0.6236 0.6236 0.1291  6 Fe 2.53-2.59
Fe4 0.6236 0.6236 0.6236  6 Fe 2.53-2.59

Values from the calculation:
Its formation enthalpy at 0 K is 0.31 eV/atom. For the calculated total energy, the calculation gives -7.698 eV/atom. For the total magnetization, the calculation gives 6.53 μB/cell.

No. 2
Computed, not measured: crystalline Eu2CuHg at its relaxed geometry at the PBE level of DFT.

Lattice parameters (Å, degrees): 10.3003 10.3003 10.3003 23.52 23.52 23.52
Closest atoms and distances in Å follow each position.
Fractional coordinates of all 4 atoms:
Eu1 0.1110 0.1110 0.1110  3 Cu 2.94
Eu2 0.8890 0.8890 0.8890  3 Cu 2.94
Cu1 0.5000 0.5000 0.5000  6 Eu 2.94
Hg1 0.0000 0.0000 0.0000  2 Eu 3.33

Values from the calculation:
Its formation enthalpy at 0 K is 0.05 eV/atom. The calculation puts the energy above the most stable polymorph in this dataset at 0.351 eV per atom. For the calculated total energy, the calculation gives -6.185 eV/atom. For the total magnetization, the calculation gives 14.93 μB/cell.

No. 3
Computed, not measured: crystalline Nd3RhSeCl at its relaxed geometry at the PBE level of DFT.

Lattice parameters (Å, degrees): 8.5431 4.1534 9.3851 90.00 102.56 90.00
Closest atoms and distances in Å follow each position.
Fractional coordinates of all 12 atoms:
Nd1 0.0690 0.2500 0.3412  3 Rh 2.85-2.87
Nd2 0.2216 0.2500 0.9849  2 Cl 2.79, 1 Rh 3.06
Nd3 0.3801 0.7500 0.6115  1 Cl 2.73, 2 Rh 2.87
Nd4 0.6199 0.2500 0.3885  1 Cl 2.73, 2 Rh 2.87
Nd5 0.7784 0.7500 0.0151  2 Cl 2.79, 1 Rh 3.06
Nd6 0.9310 0.7500 0.6588  3 Rh 2.85-2.87
Rh1 0.1610 0.2500 0.6514  6 Nd 2.85-3.06
Rh2 0.8390 0.7500 0.3486  6 Nd 2.85-3.06
Se1 0.3250 0.7500 0.2698  7 Nd 3.14-3.35
Se2 0.6750 0.2500 0.7302  7 Nd 3.14-3.35
Cl1 0.4033 0.7500 0.9063  3 Nd 2.73-2.79, 2 Cl 2.98
Cl2 0.5967 0.2500 0.0937  3 Nd 2.73-2.79, 2 Cl 2.98

Values from the calculation:
For the calculated total energy, the calculation gives -5.655 eV/atom. The value obtained for the energy relative to the elements, uncorrected is -1.16 eV/atom. For the total magnetization, the calculation gives 0.00 μB/cell.